No. 1
A geometry-optimized Pm2MgGa2 structure. Source: OQMD via LeMat-Bulk, functional PBE-GGA.

a = 7.543 Å, b = 7.543 Å, c = 4.408 Å
α = 90.00°, β = 90.00°, γ = 90.00°
Fractional positions:
Pm1 0.174 0.326 0.000
Pm2 0.326 0.826 0.000
Pm3 0.674 0.174 0.000
Pm4 0.826 0.674 0.000
Mg1 0.000 0.000 0.500
Mg2 0.500 0.500 0.500
Ga1 0.124 0.624 0.500
Ga2 0.376 0.124 0.500
Ga3 0.624 0.876 0.500
Ga4 0.876 0.376 0.500

Calculated values
As for the total energy: -3.940 eV/atom.

---

No. 2
A geometry-optimized PmMgGa structure. Source: OQMD via LeMat-Bulk, functional PBE-GGA.

a = 7.023 Å, b = 7.023 Å, c = 7.023 Å
α = 90.00°, β = 90.00°, γ = 90.00°
Fractional positions:
Pm1 0.000 0.000 0.000
Pm2 0.000 0.500 0.500
Pm3 0.500 0.000 0.500
Pm4 0.500 0.500 0.000
Mg1 0.250 0.250 0.250
Mg2 0.250 0.750 0.750
Mg3 0.750 0.250 0.750
Mg4 0.750 0.750 0.250
Ga1 0.250 0.250 0.750
Ga2 0.250 0.750 0.250
Ga3 0.750 0.250 0.250
Ga4 0.750 0.750 0.750

Calculated values
As for the polymorph energy (0 for the lowest one): 1.649 eV per formula unit.

---

No. 3
A geometry-optimized Pm3Mg4Ga4 structure. Source: OQMD via LeMat-Bulk, functional PBE-GGA.

a = 8.706 Å, b = 8.706 Å, c = 8.706 Å
α = 149.70°, β = 130.26°, γ = 59.36°
Fractional positions:
Pm1 0.000 0.000 0.000
Pm2 0.380 0.880 0.500
Pm3 0.620 0.120 0.500
Mg1 0.025 0.329 0.696
Mg2 0.368 0.671 0.696
Mg3 0.632 0.329 0.304
Mg4 0.975 0.671 0.304
Ga1 0.217 0.217 0.000
Ga2 0.316 0.500 0.816
Ga3 0.684 0.500 0.184
Ga4 0.783 0.783 0.000

Calculated values
As for the total energy: -3.413 eV/atom.

---

No. 4
A geometry-optimized PmMgGa structure. Source: OQMD via LeMat-Bulk, functional PBE-GGA.

a = 6.827 Å, b = 6.827 Å, c = 6.827 Å
α = 90.00°, β = 90.00°, γ = 90.00°
Fractional positions:
Pm1 0.000 0.000 0.000
Pm2 0.000 0.500 0.500
Pm3 0.500 0.000 0.500
Pm4 0.500 0.500 0.000
Mg1 0.000 0.000 0.500
Mg2 0.000 0.500 0.000
Mg3 0.500 0.000 0.000
Mg4 0.500 0.500 0.500
Ga1 0.250 0.250 0.750
Ga2 0.250 0.750 0.250
Ga3 0.750 0.250 0.250
Ga4 0.750 0.750 0.750

Calculated values
As for the polymorph energy (0 for the lowest one): 0.000 eV per formula unit.

---

Repeat the fourth record exactly.
A geometry-optimized PmMgGa structure. Source: OQMD via LeMat-Bulk, functional PBE-GGA.

a = 6.827 Å, b = 6.827 Å, c = 6.827 Å
α = 90.00°, β = 90.00°, γ = 90.00°
Fractional positions:
Pm1 0.000 0.000 0.000
Pm2 0.000 0.500 0.500
Pm3 0.500 0.000 0.500
Pm4 0.500 0.500 0.000
Mg1 0.000 0.000 0.500
Mg2 0.000 0.500 0.000
Mg3 0.500 0.000 0.000
Mg4 0.500 0.500 0.500
Ga1 0.250 0.250 0.750
Ga2 0.250 0.750 0.250
Ga3 0.750 0.250 0.250
Ga4 0.750 0.750 0.750

Calculated values
As for the polymorph energy (0 for the lowest one): 0.000 eV per formula unit.